1.
VASP calculation (PBE-GGA) on a relaxed structure of NiIr2Pb.

```
NiIr2Pb
1.0
4.802 -0.002 0.000
1.357 4.606 0.000
-3.080 -2.302 2.877
Ir Ni Pb
2 1 1
direct
0.000 0.000 0.000
0.250 0.750 0.500
0.500 0.500 0.000
0.750 0.250 0.500
```

* N(E_F): 5.5 states/eV/cell
* SG: I-4m2
* size of the total moment: 0.21 μB per atom
* ΔE_f: 0.430 eV per atom
* V: 64 Å³ per cell
* E_tot: -25.49 eV for the cell shown



2.
VASP calculation (PBE-GGA) on a relaxed structure of Mg2NpMnN4.

```
Mg2NpMnN4
1.0
3.192 0.000 0.000
-1.596 5.408 0.000
0.000 0.000 10.633
Mg Np Mn N
4 2 2 8
direct
0.378 0.756 0.538
0.622 0.244 0.038
0.622 0.244 0.462
0.378 0.756 0.962
0.094 0.188 0.750
0.906 0.812 0.250
0.833 0.665 0.750
0.167 0.335 0.250
0.277 0.554 0.129
0.723 0.446 0.629
0.723 0.446 0.871
0.277 0.554 0.371
0.000 0.000 0.500
0.000 0.000 0.000
0.433 0.865 0.750
0.567 0.135 0.250
```

* N(E_F): 13.7 states/eV/cell
* SG: Cmcm
* size of the total moment: 0.54 μB per atom
* V: 184 Å³ per cell
* E_tot: -126.74 eV for the cell shown



3.
VASP calculation (PBE-GGA) on a relaxed structure of SmBe2Rh2.

```
SmBe2Rh2
1.0
0.470 4.118 -0.343
0.009 -0.346 -4.145
-4.657 -1.386 2.193
Sm Be Rh
1 2 2
direct
0.000 0.000 0.000
0.646 0.646 0.291
0.354 0.354 0.709
0.750 0.250 0.500
0.250 0.750 0.500
```

* N(E_F): 1.9 states/eV/cell
* SG: I4/mmm
* size of the total moment: 0.00 μB per atom
* ΔE_f: -0.637 eV per atom
* V: 77 Å³ per cell
* E_tot: -30.06 eV for the cell shown